Entry 1:
An optimized crystal structure of KPPd2S. Source: the Alexandria database, functional PBE.

Summary:
* crystal system: tetragonal
* formation energy from raw total energies: 0.10 eV per atom
* SG: P4/mmm, No. 123

The structure in POSCAR format:
```
KPPd2S
1.0
-1.8233 -3.9732 -0.9329
3.9278 -1.4308 -1.5830
1.5009 -1.9844 5.5177
P K S Pd
1 1 1 2
direct
0.0000 0.0000 0.0000
0.0000 0.0000 0.5000
0.5000 0.5000 0.5000
0.0000 0.5000 0.0000
0.5000 0.0000 0.0000
```



Entry 2:
An optimized crystal structure of LiTm2Ir. Source: the Alexandria database, functional PBE.

Summary:
* crystal system: tetragonal
* E above lowest polymorph: 124.6 meV per atom
* formation energy: -0.51 eV/atom
* SG: P4/mmm, No. 123

The structure in POSCAR format:
```
LiTm2Ir
1.0
3.5738 0.0000 0.0000
0.0000 4.7684 0.0000
0.0000 0.0000 4.7684
Ir Tm Li
1 2 1
direct
0.5000 0.5000 0.5000
0.0000 0.0000 0.5000
0.0000 0.5000 0.0000
0.5000 0.0000 0.0000
```



Entry 3:
An optimized crystal structure of KTa2Rh. Source: the Alexandria database, functional PBE.

Summary:
* crystal system: orthorhombic
* E above lowest polymorph: 214.6 meV per atom
* formation energy: 0.51 eV/atom
* SG: Cmmm, No. 65

The structure in POSCAR format:
```
KTa2Rh
1.0
2.8598 0.0363 0.0000
-0.0520 2.8595 0.0000
0.0000 0.0000 10.4747
K Rh Ta
1 1 2
direct
0.5000 0.5000 0.2500
0.5000 0.5000 0.7500
0.0000 0.0000 0.9326
0.0000 0.0000 0.5674
```



Entry 4:
An optimized crystal structure of GaPHIrPtS. Source: the Alexandria database, functional PBE.

Summary:
* crystal system: triclinic
* E above lowest polymorph: 3.6 meV per atom
* SG: P1, No. 1

The structure in POSCAR format:
```
GaPHIrPtS
1.0
3.6439 -0.0018 -0.0002
0.0016 4.6427 0.0049
1.8136 1.4223 5.5773
Ga P H Ir Pt S
1 1 1 1 1 1
direct
0.7969 0.7178 0.1392
0.1418 0.0924 0.4500
0.4834 0.0252 0.7732
0.5925 0.3435 0.5488
0.3392 0.1022 0.0542
0.0292 0.6326 0.6759
```



Entry 5:
An optimized crystal structure of KTeIr3. Source: the Alexandria database, functional PBE.

Summary:
* crystal system: cubic
* formation energy from raw total energies: 1.29 eV per atom
* E above lowest polymorph: 0.0 meV per atom
* SG: Pm-3m, No. 221

The structure in POSCAR format:
```
KTeIr3
1.0
-0.0046 0.6979 4.9160
4.4444 -2.1915 0.3153
2.2141 4.4005 -0.6226
K Ir Te
1 3 1
direct
0.5000 0.5000 0.5000
0.0000 0.5000 0.0000
0.0000 0.0000 0.5000
0.5000 0.0000 0.0000
0.0000 0.0000 0.0000
```



Entry 6:
An optimized crystal structure of GaIr2PtBr. Source: the Alexandria database, functional PBE.

Summary:
* crystal system: tetragonal
* formation energy from raw total energies: 1.71 eV per atom
* SG: P4/mmm, No. 123

The structure in POSCAR format:
```
GaIr2PtBr
1.0
-3.3514 0.7898 3.0236
-0.9227 -4.8511 0.2444
3.0058 -0.3986 3.4358
Ga Ir Br Pt
1 2 1 1
direct
0.0000 0.5000 0.0000
0.0000 0.0000 0.5000
0.5000 0.0000 0.0000
0.0000 0.0000 0.0000
0.5000 0.5000 0.5000
```



Entry 7:
An optimized crystal structure of SmDy5Zn6. Source: the Alexandria database, functional PBE.

Summary:
* crystal system: monoclinic
* formation energy: -0.34 eV/atom
* SG: P2/m, No. 10

The structure in POSCAR format:
```
SmDy5Zn6
1.0
-2.4491 -3.7480 2.3377
6.1262 -2.0339 3.1577
-2.7078 2.7297 7.0120
Zn Sm Dy
6 1 5
direct
0.8311 0.7464 0.3372
0.8310 0.2536 0.3372
0.5000 0.2540 0.0000
0.5000 0.7460 0.0000
0.1690 0.7464 0.6628
0.1689 0.2536 0.6628
0.0000 0.0000 0.0000
0.6658 0.5000 0.6687
0.3323 0.0000 0.3350
0.0000 0.5000 0.0000
0.6677 0.0000 0.6650
0.3342 0.5000 0.3313
```



Entry 8:
An optimized crystal structure of TlCd2Os. Source: the Alexandria database, functional PBE.

Summary:
* crystal system: tetragonal
* E above lowest polymorph: 74.1 meV per atom
* formation energy: 0.55 eV/atom
* SG: P4/mmm, No. 123

The structure in POSCAR format:
```
TlCd2Os
1.0
3.0635 0.0000 0.0000
0.0000 3.0635 0.0000
0.0000 0.0000 9.1582
Tl Os Cd
1 1 2
direct
0.5000 0.5000 0.7500
0.5000 0.5000 0.2500
0.0000 0.0000 0.0470
0.0000 0.0000 0.4530
```



Computed values of Fermi-level density of states (unit: states/eV per cell) for the preceding records, in sequence: 4.790 2.985 4.070 0.625 5.446 7.880 14.415 3.947.